Record 1
A relaxed YMn2Si crystal, computed with GGA-PBE.

Calculated values
Total magnetic moment   3.3 μB/cell
Fermi-level density of states   3.2 states/eV/f.u.
Calculated volume   15.642 Å³ per atom
Total energy   -7.577 eV per atom

Lattice parameters (Å, degrees): 3.182 3.182 6.178 90.00 90.00 90.00
Space group P4/mmm (No. 123)
Symmetry-distinct sites (fractional):
1 Y 0.000 0.000 0.000 x1
2 Mn 0.500 0.500 0.313 x2
3 Si 0.000 0.000 0.500 x1

=====

Record 2
A relaxed AcHo4S8 crystal, computed with GGA-PBE.

Calculated values
Total magnetic moment   0.0 μB/cell
Fermi-level density of states   10.2 states/eV/f.u.
Calculated volume   29.095 Å³ per atom
Total energy   -6.175 eV per atom

Lattice parameters (Å, degrees): 7.8728 7.8728 21.1395 90.00 90.00 120.00
Space group R-3m (No. 166, hexagonal axes)
Symmetry-distinct sites (fractional):
1 Ac 0.0000 0.0000 0.0000 x3
2 Ho 0.0000 0.0000 0.5000 x3
3 Ho 0.0000 0.5000 0.5000 x9
4 S 0.0000 0.0000 0.2355 x6
5 S 0.0022 0.5011 0.7610 x18

=====

Record 3
A relaxed Th2AlTc crystal, computed with GGA-PBE.

Calculated values
Total magnetic moment   0.0 μB/cell
Fermi-level density of states   1.8 states/eV/f.u.
Formation energy from the elements   -0.16 eV/atom
Calculated volume   24.425 Å³ per atom
Total energy   -7.399 eV per atom

Lattice parameters (Å, degrees): 3.564 3.564 7.691 90.00 90.00 90.00
Space group P4/mmm (No. 123)
Symmetry-distinct sites (fractional):
1 Th 0.000 0.000 0.227 x2
2 Al 0.500 0.500 0.500 x1
3 Tc 0.500 0.500 0.000 x1

=====

Record 4
A relaxed Ca2CrH2 crystal, computed with GGA-PBE.

Calculated values
Total magnetic moment   9.8 μB/cell
Fermi-level density of states   2.4 states/eV/f.u.
Relative energy among the computed polymorphs   443 meV/atom
Calculated volume   19.199 Å³ per atom
Total energy   -3.612 eV per atom

Lattice parameters (Å, degrees): 7.924 7.924 3.058 90.00 90.00 90.00
Space group P4/mbm (No. 127)
Symmetry-distinct sites (fractional):
1 Ca 0.139 0.361 0.000 x4
2 Cr 0.000 0.000 0.000 x2
3 H 0.097 0.597 0.500 x4

=====

Record 5
A relaxed TiBe3F crystal, computed with GGA-PBE.

Calculated values
Total magnetic moment   1.7 μB/cell
Fermi-level density of states   2.9 states/eV/f.u.
Relative energy among the computed polymorphs   0 meV/atom
Calculated volume   11.185 Å³ per atom
Total energy   -4.170 eV per atom

Lattice parameters (Å, degrees): 3.824 3.824 3.824 90.00 90.00 90.00
Space group Pm-3m (No. 221)
Symmetry-distinct sites (fractional):
1 Ti 0.000 0.000 0.000 x1
2 Be 0.000 0.500 0.500 x3
3 F 0.500 0.500 0.500 x1

=====

Record 6
A relaxed Ag2ClO2 crystal, computed with GGA-PBE.

Calculated values
Total magnetic moment   0.0 μB/cell
Fermi-level density of states   2.0 states/eV/f.u.
Calculated volume   16.505 Å³ per atom
Total energy   -3.314 eV per atom

Lattice parameters (Å, degrees): 7.246 3.271 7.533 90.00 112.41 90.00
Space group C2/m (No. 12)
Symmetry-distinct sites (fractional):
1 Ag 0.104 0.000 0.254 x4
2 Cl 0.000 0.500 0.500 x2
3 O 0.205 0.000 0.001 x4